Entry from Alexandria: a relaxed Ca2Pr8Sm3 crystal (PBE).

## Properties
Raw total energy   -4.158 eV per atom
Size of the total moment   0.0 μB/f.u.
Crystal system   monoclinic
Density   5.75 Mg/m³

a = 18.742 Å, b = 7.980 Å, c = 6.559 Å
α = 90.00°, β = 102.59°, γ = 90.00°
Space group C2/m (No. 12)
Symmetry-distinct sites (fractional):
Ca (0.152, 0.000, 0.274)
Pr (0.046, 0.000, 0.715)
Pr (0.172, 0.500, 0.282)
Pr (0.175, 0.281, 0.782)
Sm (0.000, 0.300, 0.000)
Sm (0.000, 0.500, 0.500)